Record 1
First-principles (PBE) data for a geometry-optimized YErZn2Sn2 structure, as listed in the Open Quantum Materials Database.

Geometry as extended XYZ:
```
12
Lattice="-2.884 -3.278 -1.082 3.944 0.322 -2.139 6.613 -9.377 10.778" Properties=species:S:1:pos:R:3 pbc="T T T"
Zn 0.448 -3.576 0.288
Zn 6.031 -7.065 5.325
Zn 7.224 -8.756 7.269
Zn 1.641 -5.268 2.232
Sn 4.234 -4.516 2.396
Sn 3.438 -7.816 5.161
Sn 2.408 -1.927 -0.580
Sn 5.264 -10.405 8.138
Er 0.000 0.000 0.000
Er 3.306 -4.688 5.389
Y 4.959 -7.032 8.084
Y 1.653 -2.344 2.695
```

Summary:
electronic total energy = -0.30627 Ry per atom


Record 2
First-principles (PBE) data for a geometry-optimized La2Pt2O5 structure, as listed in the Open Quantum Materials Database.

Geometry as extended XYZ:
```
9
Lattice="-6.037 4.038 -6.411 2.218 -1.183 -2.834 -1.964 -3.234 -0.187" Properties=species:S:1:pos:R:3 pbc="T T T"
O -4.184 2.949 -7.038
O -6.275 1.924 -5.715
O 0.365 -0.094 -2.207
O -1.726 -1.119 -0.883
O -2.892 -0.189 -4.716
La -1.458 -1.148 -3.194
La -4.325 0.770 -6.238
Pt -3.018 2.019 -3.205
Pt 0.000 0.000 0.000
```

Summary:
electronic total energy = -0.47959 Ry per atom